one) PBE-GGA KZn2Te2, optimized geometry; crystal system = tetragonal; total magnetization = 0.00 μB/cell
1.0
-2.861 2.388 3.613
-4.223 -0.575 -2.963
-4.511 -3.695 2.600
Zn Te K
2 2 1
Cartesian
-3.769 -0.171 0.858
-7.825 -1.711 2.392
-5.456 -0.200 3.269
-6.138 -1.682 -0.019
0.000 0.000 0.000



two) PBE-GGA KZn2Te2, optimized geometry; crystal system = tetragonal; total magnetization = 0.00 μB/cell
1.0
4.780 0.000 0.000
0.000 4.780 0.000
2.390 2.390 7.009
Zn Te K
2 2 1
Cartesian
4.780 2.390 3.504
2.390 4.780 3.504
2.390 2.390 2.077
4.780 4.780 4.932
0.000 0.000 0.000



It comes down to two), which is 10.2 kJ/mol of atoms more stable than the next structure.



one) PBE-GGA KZnTe, optimized geometry; crystal system = hexagonal; total magnetization = 0.00 μB/cell
1.0
4.953 0.000 0.000
-2.476 4.289 0.000
0.000 0.000 4.958
K Te Zn
1 1 1
Cartesian
0.000 0.000 0.001
2.476 1.430 2.478
0.000 2.860 2.480



two) PBE-GGA KZnTe, optimized geometry; crystal system = trigonal; total magnetization = 0.00 μB/cell
1.0
-4.227 -2.343 -2.954
4.875 -2.804 0.678
-1.165 -1.360 2.745
K Te Zn
1 1 1
Cartesian
-1.164 -1.360 2.743
-1.774 -3.175 -0.374
1.257 -3.332 0.844



It comes down to one), which is 15.1 kJ/mol of atoms more stable than the next structure.